Density functional theory data (PBE+U) for Pr2PuFeO8 after structural relaxation.

Calculated values
E_tot ... -98.89 eV/cell
Volume ... 14.39 A^3/atom
Space-group type ... P-1, No. 2

CIF file:
```
data_Pr2PuFeO8
_symmetry_space_group_name_H-M 'P 1'
_symmetry_Int_Tables_number 1
_cell_length_a 4.3856
_cell_length_b 5.3470
_cell_length_c 7.5874
_cell_angle_alpha 99.62
_cell_angle_beta 85.63
_cell_angle_gamma 99.64
loop_
_symmetry_equiv_pos_as_xyz
'x,y,z'
loop_
_atom_site_label
_atom_site_type_symbol
_atom_site_fract_x
_atom_site_fract_y
_atom_site_fract_z
Pu1 Pu 0.0000 0.0000 0.0000
O1 O 0.5976 0.7805 0.0089
O2 O 0.0376 0.8200 0.2586
O3 O 0.0989 0.7213 0.8276
O4 O 0.4024 0.2195 0.9911
O5 O 0.9011 0.2787 0.1724
O6 O 0.3311 0.2514 0.4591
O7 O 0.9624 0.1800 0.7414
O8 O 0.6689 0.7486 0.5409
Fe1 Fe 0.0000 0.0000 0.5000
Pr1 Pr 0.4623 0.5600 0.2690
Pr2 Pr 0.5377 0.4400 0.7310
```